A plane-wave DFT calculation with GGA-PBE was carried out for a geometry-optimized BaHfP2 structure.

## Properties
Space-group type   R-3m (166)
Calculated total energy   -6.78 eV per atom
Energy above the lowest structure with this stoichiometry   0.0000 eV/atom
ΔE_f   -1.101 eV per atom

Cell and atoms, written as POSCAR:
```
BaHfP2
1.0
1.988 1.148 7.217
-1.988 1.148 7.217
0.000 -2.296 7.217
Ba Hf P
1 1 2
Cartesian
0.000 0.000 0.000 Ba
0.000 0.000 10.825 Hf
0.000 0.000 5.008 P
0.000 0.000 16.642 P
```